No. 1
Here is NdPaPb2 after structural relaxation from Alexandria via LeMat-Bulk. Energies are from PBE.

Lattice parameters (Å, degrees): 3.523 3.523 9.192 90.00 90.00 90.00
Atoms (fractional coordinates):
1 Nd 0.000 0.000 0.000
2 Pa 0.000 0.000 0.500
3 Pb 0.500 0.500 0.255
4 Pb 0.500 0.500 0.745

Results
M_tot: 0.7 Bohr magnetons per cell
ΔE_f: -0.1767 eV/atom
offset from the most stable computed form: 0.0000 eV/atom
mass density: 11.50 g cm⁻³

***

No. 2
Here is NdPaPb2 after structural relaxation from Alexandria via LeMat-Bulk. Energies are from PBE.

Lattice parameters (Å, degrees): 3.395 3.395 36.563 90.00 90.00 120.00
Atoms (fractional coordinates):
1 Nd 0.000 0.000 0.000
2 Nd 0.333 0.667 0.667
3 Nd 0.667 0.333 0.333
4 Pa 0.000 0.000 0.500
5 Pa 0.333 0.667 0.167
6 Pa 0.667 0.333 0.833
7 Pb 0.000 0.000 0.089
8 Pb 0.000 0.000 0.911
9 Pb 0.333 0.667 0.577
10 Pb 0.333 0.667 0.756
11 Pb 0.667 0.333 0.244
12 Pb 0.667 0.333 0.423

Results
M_tot: 0.0 Bohr magnetons per cell
ΔE_f: 0.0959 eV/atom
offset from the most stable computed form: 0.2726 eV/atom
mass density: 10.78 g cm⁻³

***

No. 3
Here is Nd2PaPb after structural relaxation from Alexandria via LeMat-Bulk. Energies are from PBE.

Lattice parameters (Å, degrees): 3.980 3.980 7.436 90.00 90.00 90.00
Atoms (fractional coordinates):
1 Nd 0.000 0.000 0.236
2 Nd 0.000 0.000 0.764
3 Pa 0.500 0.500 0.500
4 Pb 0.500 0.500 0.000

Results
M_tot: 0.0 Bohr magnetons per cell
ΔE_f: -0.0129 eV/atom
offset from the most stable computed form: 0.0430 eV/atom
mass density: 10.25 g cm⁻³